No. 1
{
  "formula": "FeNiOs2",
  "functional": "GGA-PBE",
  "state": "optimized geometry",
  "cell": [[2.690, 0.000, 0.000], [0.000, 3.721, 0.000], [0.000, 0.000, 5.190]],
  "species": ["Ni", "Os", "Fe", "Os"],
  "fractional_positions": [[0.500, 0.500, 0.740], [0.500, 0.500, 0.246], [0.000, 0.000, 0.514], [0.000, 0.000, 0.001]],
  "delta_e_f_ev_per_atom": 0.104,
  "de_polymorph_ev_per_atom": 0.000,
  "n_ef_per_ev_atom": 0.96,
  "total_energy_ev_per_cell": -36.29
}

=====

No. 2
{
  "formula": "MnCoAg",
  "functional": "GGA-PBE",
  "state": "optimized geometry",
  "cell": [[-3.112, 0.471, 2.898], [0.383, -3.680, -2.150], [1.653, -0.955, 1.930]],
  "species": ["Co", "Ag", "Mn"],
  "fractional_positions": [[0.667, 0.333, 0.497], [0.000, 0.000, 0.000], [0.333, 0.667, 0.503]],
  "delta_e_f_ev_per_atom": 0.399,
  "de_polymorph_ev_per_atom": 0.107,
  "n_ef_per_ev_atom": 0.48,
  "total_energy_ev_per_cell": -17.93
}